# RbNa3Cd3 PBE-GGA optimized geometry
# ΔE to the lowest computed polymorph: 0.000 eV per atom
# ΔH_f (0 K): 0.015 eV/atom
# Total magnetic moment: 0.00 μB per cell
# Calculated density: 3.09 Mg/m³
data_RbNa3Cd3
_chemical_formula_sum 'Rb6 Na18 Cd18'
_symmetry_space_group_name_H-M 'R -3'
_symmetry_Int_Tables_number 148
_symmetry_space_group_name_Hall '-R 3'
_cell_length_a 7.6473
_cell_length_b 7.6473
_cell_length_c 31.3314
_cell_angle_alpha 90.00
_cell_angle_beta 90.00
_cell_angle_gamma 120.00
loop_
_atom_site_label
_atom_site_type_symbol
_atom_site_fract_x
_atom_site_fract_y
_atom_site_fract_z
Rb1 Rb 0.0000 0.0000 0.1984
Na1 Na 0.0039 0.5532 0.2528
Cd1 Cd 0.0421 0.7922 0.6866


# RbNa8Cd4 PBE-GGA optimized geometry
# ΔH_f (0 K): -0.063 eV/atom
# Total magnetic moment: 0.00 μB per cell
# Calculated density: 2.86 Mg/m³
data_RbNa8Cd4
_chemical_formula_sum 'Rb2 Na16 Cd8'
_symmetry_space_group_name_H-M 'I 4/m m m'
_symmetry_Int_Tables_number 139
_symmetry_space_group_name_Hall '-I 4 2'
_cell_length_a 11.488
_cell_length_b 11.488
_cell_length_c 6.325
_cell_angle_alpha 90.00
_cell_angle_beta 90.00
_cell_angle_gamma 90.00
loop_
_atom_site_label
_atom_site_type_symbol
_atom_site_fract_x
_atom_site_fract_y
_atom_site_fract_z
Rb1 Rb 0.000 0.000 0.000
Na1 Na 0.000 0.223 0.500
Na2 Na 0.000 0.345 0.000
Cd1 Cd 0.250 0.250 0.250


# Rb3Na4Cd2 PBE-GGA optimized geometry
# ΔH_f (0 K): -0.003 eV/atom
# Total magnetic moment: 0.00 μB per cell
# Calculated density: 2.20 Mg/m³
data_Rb3Na4Cd2
_chemical_formula_sum 'Rb12 Na16 Cd8'
_symmetry_space_group_name_H-M 'C 1 2/c 1'
_symmetry_Int_Tables_number 15
_symmetry_space_group_name_Hall '-C 2yc'
_cell_length_a 16.590
_cell_length_b 12.081
_cell_length_c 8.937
_cell_angle_alpha 90.00
_cell_angle_beta 105.20
_cell_angle_gamma 90.00
loop_
_atom_site_label
_atom_site_type_symbol
_atom_site_fract_x
_atom_site_fract_y
_atom_site_fract_z
Rb1 Rb 0.000 0.063 0.250
Rb2 Rb 0.125 0.404 0.170
Na1 Na 0.116 0.237 0.674
Na2 Na 0.196 0.097 0.056
Cd1 Cd 0.226 0.144 0.424


# Rb3Na2Cd9 PBE-GGA optimized geometry
# ΔH_f (0 K): -0.059 eV/atom
# Total magnetic moment: 0.00 μB per cell
# Calculated density: 4.86 Mg/m³
data_Rb3Na2Cd9
_chemical_formula_sum 'Rb6 Na4 Cd18'
_symmetry_space_group_name_H-M 'I m m m'
_symmetry_Int_Tables_number 71
_symmetry_space_group_name_Hall '-I 2 2'
_cell_length_a 5.345
_cell_length_b 10.726
_cell_length_c 15.661
_cell_angle_alpha 90.00
_cell_angle_beta 90.00
_cell_angle_gamma 90.00
loop_
_atom_site_label
_atom_site_type_symbol
_atom_site_fract_x
_atom_site_fract_y
_atom_site_fract_z
Rb1 Rb 0.000 0.000 0.000
Rb2 Rb 0.000 0.000 0.292
Na1 Na 0.000 0.187 0.500
Cd1 Cd 0.000 0.291 0.134
Cd2 Cd 0.000 0.353 0.329
Cd3 Cd 0.000 0.500 0.000


# RbNa2Cd PBE-GGA optimized geometry
# ΔH_f (0 K): -0.021 eV/atom
# Total magnetic moment: 0.00 μB per cell
# Calculated density: 2.42 Mg/m³
data_RbNa2Cd
_chemical_formula_sum 'Rb8 Na16 Cd8'
_symmetry_space_group_name_H-M 'P n m a'
_symmetry_Int_Tables_number 62
_symmetry_space_group_name_Hall '-P 2ac 2n'
_cell_length_a 19.873
_cell_length_b 9.443
_cell_length_c 7.133
_cell_angle_alpha 90.00
_cell_angle_beta 90.00
_cell_angle_gamma 90.00
loop_
_atom_site_label
_atom_site_type_symbol
_atom_site_fract_x
_atom_site_fract_y
_atom_site_fract_z
Rb1 Rb 0.108 0.250 0.242
Rb2 Rb 0.138 0.750 0.032
Na1 Na 0.043 0.061 0.725
Na2 Na 0.212 0.559 0.538
Cd1 Cd 0.069 0.750 0.524
Cd2 Cd 0.186 0.250 0.756


# Rb3Na2Cd7 PBE-GGA optimized geometry
# ΔH_f (0 K): -0.059 eV/atom
# Total magnetic moment: 0.00 μB per cell
# Calculated density: 4.59 Mg/m³
data_Rb3Na2Cd7
_chemical_formula_sum 'Rb9 Na6 Cd21'
_symmetry_space_group_name_H-M 'R -3 m'
_symmetry_Int_Tables_number 166
_symmetry_space_group_name_Hall '-R 3 2"'
_cell_length_a 6.5090
_cell_length_b 6.5090
_cell_length_c 32.2270
_cell_angle_alpha 90.00
_cell_angle_beta 90.00
_cell_angle_gamma 120.00
loop_
_atom_site_label
_atom_site_type_symbol
_atom_site_fract_x
_atom_site_fract_y
_atom_site_fract_z
Rb1 Rb 0.0000 0.0000 0.0000
Rb2 Rb 0.0000 0.0000 0.1431
Na1 Na 0.0000 0.0000 0.3329
Cd1 Cd 0.0000 0.0000 0.5000
Cd2 Cd 0.0005 0.5002 0.0837


# RbNa2Cd PBE-GGA optimized geometry
# ΔH_f (0 K): 0.017 eV/atom
# Total magnetic moment: 0.00 μB per cell
# Calculated density: 2.46 Mg/m³
data_RbNa2Cd
_chemical_formula_sum 'Rb1 Na2 Cd1'
_symmetry_space_group_name_H-M 'P 4/m m m'
_symmetry_Int_Tables_number 123
_symmetry_space_group_name_Hall '-P 4 2'
_cell_length_a 4.149
_cell_length_b 4.149
_cell_length_c 9.577
_cell_angle_alpha 90.00
_cell_angle_beta 90.00
_cell_angle_gamma 90.00
loop_
_atom_site_label
_atom_site_type_symbol
_atom_site_fract_x
_atom_site_fract_y
_atom_site_fract_z
Rb1 Rb 0.000 0.000 0.000
Na1 Na 0.500 0.500 0.328
Cd1 Cd 0.000 0.000 0.500


# RbNa3Cd3 PBE-GGA optimized geometry
# ΔE to the lowest computed polymorph: 0.158 eV per atom
# ΔH_f (0 K): 0.172 eV/atom
# Total magnetic moment: 0.00 μB per cell
# Calculated density: 2.59 Mg/m³
data_RbNa3Cd3
_chemical_formula_sum 'Rb2 Na6 Cd6'
_symmetry_space_group_name_H-M 'P m -3 n'
_symmetry_Int_Tables_number 223
_symmetry_space_group_name_Hall '-P 4n 2 3'
_cell_length_a 8.578
_cell_length_b 8.578
_cell_length_c 8.578
_cell_angle_alpha 90.00
_cell_angle_beta 90.00
_cell_angle_gamma 90.00
loop_
_atom_site_label
_atom_site_type_symbol
_atom_site_fract_x
_atom_site_fract_y
_atom_site_fract_z
Rb1 Rb 0.000 0.000 0.000
Na1 Na 0.000 0.250 0.500
Cd1 Cd 0.000 0.500 0.250


# Rb4NaCd3 PBE-GGA optimized geometry
# ΔH_f (0 K): -0.015 eV/atom
# Total magnetic moment: 0.00 μB per cell
# Calculated density: 2.84 Mg/m³
data_Rb4NaCd3
_chemical_formula_sum 'Rb4 Na1 Cd3'
_symmetry_space_group_name_H-M 'P m m 2'
_symmetry_Int_Tables_number 25
_symmetry_space_group_name_Hall 'P 2 -2'
_cell_length_a 5.353
_cell_length_b 5.510
_cell_length_c 13.901
_cell_angle_alpha 90.00
_cell_angle_beta 90.00
_cell_angle_gamma 90.00
loop_
_atom_site_label
_atom_site_type_symbol
_atom_site_fract_x
_atom_site_fract_y
_atom_site_fract_z
Rb1 Rb 0.000 0.000 0.000
Rb2 Rb 0.000 0.500 0.478
Rb3 Rb 0.500 0.000 0.689
Rb4 Rb 0.500 0.500 0.197
Na1 Na 0.000 0.500 0.786
Cd1 Cd 0.000 0.000 0.291
Cd2 Cd 0.500 0.000 0.389
Cd3 Cd 0.500 0.500 0.913


# Rb2Na16Cd PBE-GGA optimized geometry
# ΔH_f (0 K): 0.017 eV/atom
# Total magnetic moment: 0.00 μB per cell
# Calculated density: 1.39 Mg/m³
data_Rb2Na16Cd
_chemical_formula_sum 'Rb6 Na48 Cd3'
_symmetry_space_group_name_H-M 'R 3 m'
_symmetry_Int_Tables_number 160
_symmetry_space_group_name_Hall 'R 3 -2"'
_cell_length_a 12.2365
_cell_length_b 12.2365
_cell_length_c 18.0315
_cell_angle_alpha 90.00
_cell_angle_beta 90.00
_cell_angle_gamma 120.00
loop_
_atom_site_label
_atom_site_type_symbol
_atom_site_fract_x
_atom_site_fract_y
_atom_site_fract_z
Rb1 Rb 0.0000 0.0000 0.0000
Rb2 Rb 0.0000 0.0000 0.3223
Na1 Na 0.0000 0.0000 0.7469
Na2 Na 0.0051 0.5025 0.5084
Na3 Na 0.0147 0.5073 0.1587
Na4 Na 0.0491 0.3816 0.3239
Na5 Na 0.1731 0.3463 0.1409
Cd1 Cd 0.0000 0.0000 0.5627


# Rb3Na2Cd2 PBE-GGA optimized geometry
# ΔH_f (0 K): -0.009 eV/atom
# Total magnetic moment: 0.00 μB per cell
# Calculated density: 2.59 Mg/m³
data_Rb3Na2Cd2
_chemical_formula_sum 'Rb12 Na8 Cd8'
_symmetry_space_group_name_H-M 'P b c m'
_symmetry_Int_Tables_number 57
_symmetry_space_group_name_Hall '-P 2c 2b'
_cell_length_a 8.034
_cell_length_b 9.606
_cell_length_c 17.527
_cell_angle_alpha 90.00
_cell_angle_beta 90.00
_cell_angle_gamma 90.00
loop_
_atom_site_label
_atom_site_type_symbol
_atom_site_fract_x
_atom_site_fract_y
_atom_site_fract_z
Rb1 Rb 0.094 0.081 0.109
Rb2 Rb 0.353 0.740 0.250
Na1 Na 0.398 0.062 0.582
Cd1 Cd 0.191 0.129 0.750
Cd2 Cd 0.302 0.750 0.000


# RbNa2Cd6 PBE-GGA optimized geometry
# ΔH_f (0 K): -0.038 eV/atom
# Total magnetic moment: 0.00 μB per cell
# Calculated density: 5.26 Mg/m³
data_RbNa2Cd6
_chemical_formula_sum 'Rb2 Na4 Cd12'
_symmetry_space_group_name_H-M 'C 1 2/m 1'
_symmetry_Int_Tables_number 12
_symmetry_space_group_name_Hall '-C 2y'
_cell_length_a 15.896
_cell_length_b 9.164
_cell_length_c 3.496
_cell_angle_alpha 90.00
_cell_angle_beta 90.01
_cell_angle_gamma 90.00
loop_
_atom_site_label
_atom_site_type_symbol
_atom_site_fract_x
_atom_site_fract_y
_atom_site_fract_z
Rb1 Rb 0.000 0.000 0.000
Na1 Na 0.167 0.500 0.001
Cd1 Cd 0.000 0.343 0.500
Cd2 Cd 0.171 0.171 0.503


# Rb2Na2Cd PBE-GGA optimized geometry
# ΔE to the lowest computed polymorph: 0.000 eV per atom
# ΔH_f (0 K): 0.018 eV/atom
# Total magnetic moment: 0.00 μB per cell
# Calculated density: 2.08 Mg/m³
data_Rb2Na2Cd
_chemical_formula_sum 'Rb8 Na8 Cd4'
_symmetry_space_group_name_H-M 'I b a m'
_symmetry_Int_Tables_number 72
_symmetry_space_group_name_Hall '-I 2 2c'
_cell_length_a 9.779
_cell_length_b 16.834
_cell_length_c 6.392
_cell_angle_alpha 90.00
_cell_angle_beta 90.00
_cell_angle_gamma 90.00
loop_
_atom_site_label
_atom_site_type_symbol
_atom_site_fract_x
_atom_site_fract_y
_atom_site_fract_z
Rb1 Rb 0.180 0.104 0.000
Na1 Na 0.087 0.336 0.000
Cd1 Cd 0.000 0.500 0.250


# Rb8NaCd2 PBE-GGA optimized geometry
# ΔH_f (0 K): 0.024 eV/atom
# Total magnetic moment: 0.00 μB per cell
# Calculated density: 2.10 Mg/m³
data_Rb8NaCd2
_chemical_formula_sum 'Rb16 Na2 Cd4'
_symmetry_space_group_name_H-M 'C 1 2/m 1'
_symmetry_Int_Tables_number 12
_symmetry_space_group_name_Hall '-C 2y'
_cell_length_a 21.916
_cell_length_b 11.673
_cell_length_c 5.975
_cell_angle_alpha 90.00
_cell_angle_beta 105.72
_cell_angle_gamma 90.00
loop_
_atom_site_label
_atom_site_type_symbol
_atom_site_fract_x
_atom_site_fract_y
_atom_site_fract_z
Rb1 Rb 0.000 0.186 0.000
Rb2 Rb 0.145 0.500 0.145
Rb3 Rb 0.168 0.201 0.668
Na1 Na 0.000 0.500 0.500
Cd1 Cd 0.222 0.000 0.222


# Rb3NaCd2 PBE-GGA optimized geometry
# ΔH_f (0 K): -0.034 eV/atom
# Total magnetic moment: 0.00 μB per cell
# Calculated density: 2.50 Mg/m³
data_Rb3NaCd2
_chemical_formula_sum 'Rb12 Na4 Cd8'
_symmetry_space_group_name_H-M 'C 1 2/m 1'
_symmetry_Int_Tables_number 12
_symmetry_space_group_name_Hall '-C 2y'
_cell_length_a 22.406
_cell_length_b 5.222
_cell_length_c 13.109
_cell_angle_alpha 90.00
_cell_angle_beta 118.97
_cell_angle_gamma 90.00
loop_
_atom_site_label
_atom_site_type_symbol
_atom_site_fract_x
_atom_site_fract_y
_atom_site_fract_z
Rb1 Rb 0.085 0.000 0.375
Rb2 Rb 0.111 0.000 0.024
Rb3 Rb 0.132 0.500 0.719
Na1 Na 0.227 0.500 0.288
Cd1 Cd 0.232 0.500 0.536
Cd2 Cd 0.246 0.500 0.051


# Rb3NaCd PBE-GGA optimized geometry
# ΔE to the lowest computed polymorph: 0.000 eV per atom
# ΔH_f (0 K): -0.004 eV/atom
# Total magnetic moment: 0.00 μB per cell
# Calculated density: 2.12 Mg/m³
data_Rb3NaCd
_chemical_formula_sum 'Rb6 Na2 Cd2'
_symmetry_space_group_name_H-M 'P 1'
_symmetry_Int_Tables_number 1
_symmetry_space_group_name_Hall 'P 1'
_cell_length_a 5.021
_cell_length_b 10.975
_cell_length_c 11.450
_cell_angle_alpha 93.85
_cell_angle_beta 90.01
_cell_angle_gamma 103.16
loop_
_atom_site_label
_atom_site_type_symbol
_atom_site_fract_x
_atom_site_fract_y
_atom_site_fract_z
Rb1 Rb 0.000 0.000 0.000
Rb2 Rb 0.128 0.256 0.437
Rb3 Rb 0.308 0.618 0.025
Rb4 Rb 0.459 0.922 0.651
Rb5 Rb 0.667 0.334 0.786
Rb6 Rb 0.818 0.638 0.412
Na1 Na 0.479 0.958 0.289
Na2 Na 0.648 0.298 0.149
Cd1 Cd 0.283 0.568 0.669
Cd2 Cd 0.843 0.688 0.768


# Rb3Na2Cd4 PBE-GGA optimized geometry
# ΔH_f (0 K): -0.040 eV/atom
# Total magnetic moment: 0.00 μB per cell
# Calculated density: 3.33 Mg/m³
data_Rb3Na2Cd4
_chemical_formula_sum 'Rb3 Na2 Cd4'
_symmetry_space_group_name_H-M 'P -1'
_symmetry_Int_Tables_number 2
_symmetry_space_group_name_Hall '-P 1'
_cell_length_a 5.454
_cell_length_b 7.331
_cell_length_c 10.515
_cell_angle_alpha 74.49
_cell_angle_beta 89.93
_cell_angle_gamma 68.45
loop_
_atom_site_label
_atom_site_type_symbol
_atom_site_fract_x
_atom_site_fract_y
_atom_site_fract_z
Rb1 Rb 0.000 0.000 0.000
Rb2 Rb 0.378 0.245 0.631
Na1 Na 0.313 0.368 0.233
Cd1 Cd 0.088 0.833 0.630
Cd2 Cd 0.252 0.499 0.920


# RbNa2Cd9 PBE-GGA optimized geometry
# ΔH_f (0 K): -0.081 eV/atom
# Total magnetic moment: 0.00 μB per cell
# Calculated density: 5.93 Mg/m³
data_RbNa2Cd9
_chemical_formula_sum 'Rb3 Na6 Cd27'
_symmetry_space_group_name_H-M 'R -3 m'
_symmetry_Int_Tables_number 166
_symmetry_space_group_name_Hall '-R 3 2"'
_cell_length_a 6.1044
_cell_length_b 6.1044
_cell_length_c 29.7735
_cell_angle_alpha 90.00
_cell_angle_beta 90.00
_cell_angle_gamma 120.00
loop_
_atom_site_label
_atom_site_type_symbol
_atom_site_fract_x
_atom_site_fract_y
_atom_site_fract_z
Rb1 Rb 0.0000 0.0000 0.0000
Na1 Na 0.0000 0.0000 0.1450
Cd1 Cd 0.0000 0.0000 0.3342
Cd2 Cd 0.0000 0.0000 0.5000
Cd3 Cd 0.0064 0.5032 0.9136


# RbNaCd2Rh PBE-GGA optimized geometry
# ΔH_f (0 K): 0.014 eV/atom
# Total magnetic moment: 0.00 μB per cell
# Calculated density: 4.67 Mg/m³
data_RbNaCd2Rh
_chemical_formula_sum 'Rb1 Na1 Cd2 Rh1'
_symmetry_space_group_name_H-M 'P 4/m m m'
_symmetry_Int_Tables_number 123
_symmetry_space_group_name_Hall '-P 4 2'
_cell_length_a 5.308
_cell_length_b 5.308
_cell_length_c 5.503
_cell_angle_alpha 90.00
_cell_angle_beta 90.00
_cell_angle_gamma 90.00
loop_
_atom_site_label
_atom_site_type_symbol
_atom_site_fract_x
_atom_site_fract_y
_atom_site_fract_z
Rb1 Rb 0.000 0.000 0.000
Na1 Na 0.500 0.500 0.000
Cd1 Cd 0.000 0.500 0.500
Rh1 Rh 0.500 0.500 0.500


# Rb2NaCdRu PBE-GGA optimized geometry
# ΔH_f (0 K): 1.025 eV/atom
# Total magnetic moment: 1.95 μB per cell
# Calculated density: 2.83 Mg/m³
data_Rb2NaCdRu
_chemical_formula_sum 'Rb2 Na1 Cd1 Ru1'
_symmetry_space_group_name_H-M 'P 4/m m m'
_symmetry_Int_Tables_number 123
_symmetry_space_group_name_Hall '-P 4 2'
_cell_length_a 6.717
_cell_length_b 6.717
_cell_length_c 5.289
_cell_angle_alpha 90.00
_cell_angle_beta 90.00
_cell_angle_gamma 90.00
loop_
_atom_site_label
_atom_site_type_symbol
_atom_site_fract_x
_atom_site_fract_y
_atom_site_fract_z
Rb1 Rb 0.000 0.500 0.000
Na1 Na 0.000 0.000 0.000
Cd1 Cd 0.500 0.500 0.500
Ru1 Ru 0.000 0.000 0.500